Entry 1:
First-principles (PBE) data for a relaxed LiThMg4 crystal, as listed in Alexandria.

The structure belongs to space group P4/mmm (No. 123); the cell edges are 3.407, 3.407 and 12.190 Å and the angles 90.00°, 90.00° and 90.00°. The distinct sites, in fractional coordinates, are Li at (0.000, 0.000, 0.000), Th at (0.500, 0.500, 0.500), Mg at (0.000, 0.000, 0.299) and Mg at (0.500, 0.500, 0.138).

The value obtained for the formation energy is -20.2 meV/atom. As for the total magnetization: 0.00 μB per formula unit. As for the total energy: -2.64 eV/atom. Its excess energy over the best structure of this formula in the dataset is 0.00 eV per formula unit.


Entry 2:
First-principles (PBE) data for a relaxed Ba2TiPd crystal, as listed in Alexandria.

The structure belongs to space group Fm-3m (No. 225); the cell edges are 7.982, 7.982 and 7.982 Å and the angles 90.00°, 90.00° and 90.00°. The distinct sites, in fractional coordinates, are Ba at (0.250, 0.250, 0.250), Ti at (0.000, 0.000, 0.000) and Pd at (0.000, 0.000, 0.500).

The value obtained for the formation energy is 529.5 meV/atom. As for the total magnetization: 0.08 μB per formula unit. As for the total energy: -3.70 eV/atom. Its excess energy over the best structure of this formula in the dataset is 1.16 eV per formula unit.


Entry 3:
First-principles (PBE) data for a relaxed YTc2SnO crystal, as listed in Alexandria.

The structure belongs to space group P4/mmm (No. 123); the cell edges are 4.300, 4.300 and 4.429 Å and the angles 90.00°, 90.00° and 90.00°. The distinct sites, in fractional coordinates, are Y at (0.000, 0.000, 0.000), Tc at (0.000, 0.500, 0.500), Sn at (0.500, 0.500, 0.000) and O at (0.000, 0.000, 0.500).

The uncorrected formation energy comes out at -0.470 eV/atom. As for the total magnetization: 0.00 μB per formula unit. As for the total energy: -7.70 eV/atom.